(1)
DFT (PBE) results for a relaxed RbNaTeN2 crystal.

Unit cell a=5.3810 b=5.3810 c=7.1193 alpha=90.00 beta=90.00 gamma=90.00
With the nearest neighbours (Å) after each atom.
Fractional coordinates of all 5 atoms:
Rb 0.0000 0.0000 0.0000  4 N 2.69
Na 0.5000 0.5000 0.5000  4 Te 3.80
Te 0.0000 0.0000 0.5000  2 Rb 3.56, 4 Na 3.80
N 0.0000 0.5000 0.0000  2 Rb 2.69
N 0.5000 0.0000 0.0000  2 Rb 2.69

## Properties
* magnetization: 6.03 Bohr magnetons per cell
* density: 2.13 Mg/m³
* energy: -13.90 eV for the cell shown
* energy above the lowest structure with this stoichiometry: 281.3 meV per atom


(2)
DFT (PBE) results for a relaxed RbNaTeN2 crystal.

Unit cell a=5.1855 b=5.1855 c=5.9303 alpha=90.00 beta=90.00 gamma=90.00
With the nearest neighbours (Å) after each atom.
Fractional coordinates of all 5 atoms:
Rb 0.0000 0.0000 0.0000  4 Te 3.67, 8 N 3.94
Na 0.5000 0.5000 0.5000  4 N 2.59
Te 0.5000 0.5000 0.0000  2 Na 2.97
N 0.0000 0.5000 0.5000  2 Na 2.59
N 0.5000 0.0000 0.5000  2 Na 2.59

## Properties
* magnetization: 6.03 Bohr magnetons per cell
* density: 2.75 Mg/m³
* energy: -15.31 eV for the cell shown
* energy above the lowest structure with this stoichiometry: 0.0 meV per atom